Record 1
This record from the Open Quantum Materials Database describes crystalline SiAg at its relaxed geometry. The functional is PBE.

abc: 3.7359 3.7359 3.7359
angles: 60.00 60.00 60.00
Closest atoms and distances in Å follow each position.
Positions (direct):
Ag 0.0000 0.0000 0.0000  6 Si 2.64
Si 0.5000 0.5000 0.5000  6 Ag 2.64

Properties
The total energy is -3.566 eV/atom. Its space group is Fm-3m. The polymorph energy (0 for the lowest one) is 170 meV/atom.

***

Record 2
This record from the Open Quantum Materials Database describes crystalline SrSmSi3Ag at its relaxed geometry. The functional is PBE.

abc: 8.5170 8.4539 6.0128
angles: 69.81 68.69 41.50
Closest atoms and distances in Å follow each position.
Positions (direct):
Ag 0.6665 0.6665 0.3335  3 Si 2.48-2.57
Ag 0.3335 0.3335 0.6665  3 Si 2.48-2.57
Si 0.8411 0.8411 0.1589  2 Si 2.37, 1 Ag 2.57
Si 0.8328 0.3257 0.1672  2 Si 2.33-2.37, 1 Ag 2.48
Si 0.6743 0.1672 0.3257  2 Si 2.33-2.37, 1 Ag 2.48
Si 0.3257 0.8328 0.6743  2 Si 2.33-2.37, 1 Ag 2.48
Si 0.1672 0.6743 0.8328  2 Si 2.33-2.37, 1 Ag 2.48
Si 0.1589 0.1589 0.8411  2 Si 2.37, 1 Ag 2.57
Sm 0.2411 0.7589 0.2411  10 Si 3.13-3.30, 2 Ag 3.31
Sm 0.7589 0.2411 0.7589  10 Si 3.13-3.30, 2 Ag 3.31
Sr 0.2500 0.2500 0.2500  4 Ag 3.25, 8 Si 3.29-3.31
Sr 0.7500 0.7500 0.7500  4 Ag 3.25, 8 Si 3.29-3.31

Properties
The total energy is -4.795 eV/atom. Its space group is Fmmm. The polymorph energy (0 for the lowest one) is 0 meV/atom.

***

Record 3
This record from the Open Quantum Materials Database describes crystalline SmSi2TcAg at its relaxed geometry. The functional is PBE.

abc: 5.9776 5.9776 5.9776
angles: 139.46 139.46 58.67
Closest atoms and distances in Å follow each position.
Positions (direct):
Ag 0.2500 0.7500 0.5000  4 Si 2.49
Si 0.1167 0.1167 0.0000  1 Si 2.43, 2 Tc 2.49, 2 Ag 2.49
Si 0.8833 0.8833 0.0000  1 Si 2.43, 2 Tc 2.49, 2 Ag 2.49
Sm 0.5000 0.5000 0.0000  8 Si 3.17, 4 Tc 3.33, 4 Ag 3.33
Tc 0.7500 0.2500 0.5000  4 Si 2.49

Properties
The total energy is -6.189 eV/atom. Its space group is I-4m2.

***

Record 4
This record from the Open Quantum Materials Database describes crystalline SiAgSn at its relaxed geometry. The functional is PBE.

abc: 4.5627 4.5627 4.5627
angles: 60.00 60.00 60.00
Closest atoms and distances in Å follow each position.
Positions (direct):
Ag 0.2500 0.2500 0.2500  4 Si 2.79
Si 0.0000 0.0000 0.0000  4 Ag 2.79, 4 Sn 2.79
Sn 0.7500 0.7500 0.7500  4 Si 2.79

Properties
The total energy is -3.792 eV/atom. Its space group is F-43m. The polymorph energy (0 for the lowest one) is 0 meV/atom.